Computed, not measured: a geometry-optimized FeSN2O structure at the PBE with a Hubbard U level of DFT.

a b c (Å): 3.522 3.522 5.362
angles (deg): 90.00 90.00 90.00
Space group P4/mmm (No. 123)
Inequivalent atoms, fractional coordinates:
1 Fe 0.000 0.000 0.000 x1
2 S 0.000 0.000 0.500 x1
3 N 0.000 0.500 0.000 x2
4 O 0.500 0.500 0.500 x1

Properties
The total energy is -22.8 eV per cell.